# SrHgW2 PBE relaxed
# ΔE_f: 1.01 eV/atom
# total magnetization: 0.00 μB/cell
data_SrHgW2
_cell_length_a 5.4530
_cell_length_b 2.9642
_cell_length_c 5.2658
_cell_angle_alpha 87.63
_cell_angle_beta 90.00
_cell_angle_gamma 90.00
_space_group_name_H-M_alt 'P 1'
_space_group_IT_number 1
loop_
_space_group_symop_operation_xyz
'x,y,z'
loop_
_atom_site_label
_atom_site_type_symbol
_atom_site_fract_x
_atom_site_fract_y
_atom_site_fract_z
_atom_site_occupancy
W1 W 0.0000 0.1340 0.9912 1
W2 W 0.0000 0.3660 0.5088 1
Sr1 Sr 0.5000 0.7500 0.7500 1
Hg1 Hg 0.5000 0.2500 0.2500 1